# MgBe3V

A geometry-optimized MgBe3V structure (PBE, Alexandria).

Lattice parameters (Å, degrees): 4.1810 4.1810 4.1810 90.00 90.00 90.00
Space group Pm-3m (No. 221)
Asymmetric unit:
Mg 0.0000 0.0000 0.0000 [1 per cell]
Be 0.0000 0.0000 0.5000 [3 per cell]
V 0.5000 0.5000 0.5000 [1 per cell]

Values from the calculation:
V = 14.62 A^3/atom
DFT total energy = -14.417 eV for the cell shown
Total moment = 1.87 μB per formula unit